A relaxed NaBH crystal, computed with PBE-GGA.

Lattice parameters (Å, degrees): 3.276 3.276 7.554 91.71 91.71 57.58
Fractional positions:
Na 0.011 0.011 0.249
Na 0.989 0.989 0.751
B 0.309 0.309 0.000
B 0.691 0.691 0.000
H 0.425 0.425 0.499
H 0.575 0.575 0.501

Output
final energy = -21.026 eV/cell
SG = C2/m
total magnetization = 0.000 μB/atom
DOS(E_F) = 0.144 states/eV per atom